Record 1
{
  "formula": "Sm4Dy3Pu",
  "functional": "PBE-GGA",
  "state": "relaxed",
  "lattice_angstrom": [[-3.185, -1.344, -0.038], [4.499, -10.685, 0.725], [-0.878, 6.356, 6.083]],
  "species": ["Sm", "Sm", "Sm", "Sm", "Dy", "Dy", "Dy", "Pu"],
  "frac_coords": [[0.631, 0.379, 0.262], [0.369, 0.621, 0.738], [0.369, 0.117, 0.738], [0.631, 0.883, 0.262], [0.235, 0.235, 0.470], [0.000, 0.500, 0.000], [0.765, 0.765, 0.530], [0.500, 0.000, 0.000]],
  "rho_g_cm3": 8.56,
  "crystal_system": "orthorhombic",
  "formation_energy_ev_per_atom": 0.15
}


Record 2
{
  "formula": "La2Pm6Er3",
  "functional": "PBE-GGA",
  "state": "relaxed",
  "lattice_angstrom": [[5.683, 0.000, 0.000], [0.000, 5.683, 0.000], [-2.842, -2.842, 12.365]],
  "species": ["Er", "Er", "Er", "La", "La", "Pm", "Pm", "Pm", "Pm", "Pm", "Pm"],
  "frac_coords": [[0.837, 0.837, 0.675], [0.000, 0.000, 0.000], [0.163, 0.163, 0.325], [0.559, 0.559, 0.118], [0.441, 0.441, 0.882], [0.596, 0.096, 0.193], [0.904, 0.404, 0.807], [0.404, 0.904, 0.807], [0.700, 0.700, 0.400], [0.096, 0.596, 0.193], [0.300, 0.300, 0.600]],
  "rho_g_cm3": 6.86,
  "crystal_system": "tetragonal",
  "e_above_lowest_polymorph_ev_per_fu": 3.13,
  "formation_energy_ev_per_atom": 0.45
}